The following is a DFT calculation (PBE-GGA) of an optimized crystal structure of ZrScPO.

Lattice parameters (Å, degrees): 3.832 3.832 8.338 90.00 90.00 90.00
Atoms (fractional coordinates):
Zr (0.250, 0.250, 0.140)
Zr (0.750, 0.750, 0.860)
Sc (0.250, 0.750, 0.500)
Sc (0.750, 0.250, 0.500)
P (0.250, 0.250, 0.713)
P (0.750, 0.750, 0.287)
O (0.250, 0.750, 0.000)
O (0.750, 0.250, 0.000)

ΔE to the lowest computed polymorph	114	meV/atom
crystal system	tetragonal
uncorrected energy	-8.030	eV per atom
SG	P4/nmm
size of the total moment	0.32	μB per cell